Record 1
The following is a DFT calculation (GGA-PBE) of a relaxed Cu2Ag3 crystal.

Values from the calculation:
DFT formation energy: 0.09 eV/atom
Theoretical density: 9.60 g/cm3

abc: 9.7266 9.7266 5.7874
angles: 98.88 98.88 16.77
Fractional coordinates of all 10 atoms:
Cu  0.0000  0.0000  0.0000
Cu  0.0000  0.0000  0.5000
Cu  0.2012  0.2012  0.0891
Cu  0.7988  0.7988  0.9109
Ag  0.2024  0.2024  0.6160
Ag  0.4025  0.4025  0.7049
Ag  0.4053  0.4053  0.1963
Ag  0.5947  0.5947  0.8037
Ag  0.5975  0.5975  0.2951
Ag  0.7976  0.7976  0.3840

***

Record 2
The following is a DFT calculation (GGA-PBE) of a relaxed Mg5Zn crystal.

Values from the calculation:
Total energy: -1.506 eV/atom
Theoretical density: 2.48 g/cm3

abc: 5.3863 5.3863 4.9848
angles: 90.00 90.00 120.00
Fractional coordinates of all 6 atoms:
Mg  0.0000  0.3230  0.0000
Mg  0.3230  0.0000  0.0000
Mg  0.3333  0.6667  0.5000
Mg  0.6667  0.3333  0.5000
Mg  0.6770  0.6770  0.0000
Zn  0.0000  0.0000  0.5000

***

Record 3
The following is a DFT calculation (GGA-PBE) of a relaxed Ga2TeIr crystal.

Values from the calculation:
Total energy: -4.327 eV/atom
Spin magnetization: 0.0 Bohr magnetons per cell
Theoretical density: 10.27 g/cm3

abc: 4.7184 4.7184 4.7184
angles: 60.00 60.00 60.00
Fractional coordinates of all 4 atoms:
Ga  0.0000  0.0000  0.0000
Ga  0.2500  0.2500  0.2500
Te  0.5000  0.5000  0.5000
Ir  0.7500  0.7500  0.7500

***

Record 4
The following is a DFT calculation (GGA-PBE) of a relaxed Rb5Nb3OF18 crystal.

Values from the calculation:
Total energy: -5.744 eV/atom
Spin magnetization: 0.0 Bohr magnetons per cell
Theoretical density: 4.21 g/cm3

abc: 11.1635 11.1635 11.1635
angles: 96.68 96.68 140.13
Fractional coordinates of all 54 atoms:
Rb  0.0000  0.5000  0.5000
Rb  0.0466  0.1846  0.6976
Rb  0.1846  0.4871  0.1380
Rb  0.3491  0.0466  0.8620
Rb  0.4871  0.3491  0.3024
Rb  0.5000  0.0000  0.5000
Rb  0.5466  0.8491  0.8620
Rb  0.6846  0.5466  0.6976
Rb  0.8491  0.9871  0.3024
Rb  0.9871  0.6846  0.1380
Nb  0.0781  0.8912  0.5000
Nb  0.3912  0.5781  0.5000
Nb  0.4869  0.4869  0.0000
Nb  0.5781  0.0781  0.1869
Nb  0.8912  0.3912  0.8131
Nb  0.9869  0.9869  0.0000
O  0.2252  0.2252  0.0000
O  0.7252  0.7252  0.0000
F  0.0144  0.8428  0.9280
F  0.0543  0.9356  0.6683
F  0.0725  0.5725  0.9879
F  0.0846  0.0725  0.5000
F  0.0864  0.0144  0.1716
F  0.1133  0.7747  0.3845
F  0.1171  0.3478  0.5000
F  0.1349  0.6349  0.7871
F  0.2288  0.8902  0.6155
F  0.2673  0.3860  0.3317
F  0.2747  0.6133  0.3845
F  0.3428  0.5144  0.9280
F  0.3477  0.1349  0.5000
F  0.3478  0.8478  0.2308
F  0.3860  0.0543  0.1187
F  0.3902  0.7288  0.6155
F  0.4148  0.3428  0.8284
F  0.4356  0.5543  0.6683
F  0.5144  0.5864  0.1716
F  0.5543  0.8860  0.1187
F  0.5725  0.5846  0.5000
F  0.5846  0.0846  0.0121
F  0.5864  0.4148  0.0720
F  0.6133  0.2288  0.3386
F  0.6171  0.1171  0.7692
F  0.6349  0.8477  0.5000
F  0.7288  0.1133  0.3386
F  0.7673  0.4356  0.8813
F  0.7747  0.3902  0.6614
F  0.8428  0.9148  0.8284
F  0.8477  0.3477  0.2129
F  0.8478  0.6171  0.5000
F  0.8860  0.7673  0.3317
F  0.8902  0.2747  0.6614
F  0.9148  0.0864  0.0720
F  0.9356  0.2673  0.8813